This record from Alexandria describes crystalline Mn2Pd3Pt8 at its relaxed geometry. The functional is PBE.

Calculated values
Energy of formation, kcal/mol of atoms: 0.1
Space-group type: P2/m (10)

a = 4.125 Å, b = 6.938 Å, c = 8.288 Å
α = 114.65°, β = 90.00°, γ = 90.00°
Last column: magnetic moment on the atom in μB.
Fractional coordinates of all 13 atoms:
Pt 0.000 0.341 0.681  0.02
Pt 0.000 0.659 0.319  0.02
Pt 0.500 0.603 0.749  0.02
Pt 0.500 0.397 0.251  0.02
Pt 0.000 0.136 0.272  0.05
Pt 0.500 0.855 0.252  0.02
Pt 0.500 0.145 0.748  0.02
Pt 0.000 0.864 0.728  0.05
Mn 0.500 0.239 0.477  3.21
Mn 0.500 0.761 0.523  3.21
Pd 0.000 0.711 0.000  0.05
Pd 0.000 0.289 0.000  0.05
Pd 0.500 0.000 0.000  -0.06

This record from Alexandria describes crystalline MnPd5Pt2 at its relaxed geometry. The functional is PBE.

Calculated values
Energy of formation, kcal/mol of atoms: -3.3
Space-group type: Pbam (55)

a = 3.913 Å, b = 5.576 Å, c = 11.200 Å
α = 90.00°, β = 90.00°, γ = 90.00°
Last column: magnetic moment on the atom in μB.
Fractional coordinates of all 16 atoms:
Pd 0.000 0.500 0.500  0.15
Pd 0.500 0.753 0.623  0.12
Pd 0.000 0.503 0.754  0.06
Pd 0.500 0.747 0.123  0.12
Pd 0.000 0.497 0.246  0.06
Pd 0.500 0.247 0.377  0.12
Pd 0.000 0.997 0.254  0.06
Pd 0.500 0.253 0.877  0.12
Pd 0.000 0.000 0.000  0.15
Pd 0.000 0.003 0.746  0.06
Pt 0.500 0.749 0.877  0.07
Pt 0.500 0.249 0.623  0.07
Pt 0.500 0.251 0.123  0.07
Pt 0.500 0.751 0.377  0.07
Mn 0.000 0.000 0.500  3.85
Mn 0.000 0.500 0.000  3.85

This record from Alexandria describes crystalline MnPd8Pt5 at its relaxed geometry. The functional is PBE.

Calculated values
Energy of formation, kcal/mol of atoms: 2.8
Space-group type: I-4 (82)

a = 6.667 Å, b = 6.667 Å, c = 6.667 Å
α = 109.33°, β = 109.76°, γ = 109.33°
Last column: magnetic moment on the atom in μB.
Fractional coordinates of all 14 atoms:
Pd 0.193 0.798 0.618  0.04
Pd 0.820 0.202 0.395  0.04
Pd 0.605 0.425 0.807  0.04
Pd 0.111 0.776 0.002  0.04
Pd 0.998 0.109 0.774  0.04
Pd 0.226 0.224 0.335  0.04
Pd 0.665 0.891 0.889  0.04
Pd 0.382 0.575 0.180  0.04
Mn 0.250 0.500 0.750  3.75
Pt 0.500 0.000 0.500  0.02
Pt 0.730 0.587 0.534  -0.03
Pt 0.466 0.196 0.053  -0.03
Pt 0.947 0.413 0.144  -0.03
Pt 0.856 0.804 0.270  -0.03